DFT (PBE-GGA) results for a relaxed structure of PmDyMnGa.

POSCAR file:
```
PmDyMnGa
1.0
7.223 0.000 0.000
0.000 7.223 0.000
0.000 0.000 7.223
Pm Dy Mn Ga
4 4 4 4
direct
0.000 0.000 0.000
0.000 0.500 0.500
0.500 0.000 0.500
0.500 0.500 0.000
0.000 0.000 0.500
0.000 0.500 0.000
0.500 0.000 0.000
0.500 0.500 0.500
0.250 0.250 0.250
0.250 0.750 0.750
0.750 0.250 0.750
0.750 0.750 0.250
0.250 0.250 0.750
0.250 0.750 0.250
0.750 0.250 0.250
0.750 0.750 0.750
```

Results
As for the space group: F-43m, No. 216. The mass density is 7.6 g/cm³. As for the formation energy: -136 meV per atom.